## Tb4CoTe (PBE-GGA)

Data for a relaxed Tb4CoTe crystal.

Symmetry = C2/m
Offset from the most stable computed form = 229 meV per atom
Uncorrected formation energy = -1.88 eV per formula unit

The structure in CIF format:
```
data_Tb4CoTe
_chemical_formula_sum 'Tb8 Co2 Te2'
_cell_length_a 5.261
_cell_length_b 10.635
_cell_length_c 9.555
_cell_angle_alpha 122.26
_cell_angle_beta 90.00
_cell_angle_gamma 104.32
_symmetry_space_group_name_H-M 'P 1'
_symmetry_Int_Tables_number 1
loop_
_symmetry_equiv_pos_as_xyz
'x,y,z'
loop_
_atom_site_label
_atom_site_type_symbol
_atom_site_fract_x
_atom_site_fract_y
_atom_site_fract_z
Tb1 Tb 0.028 0.055 0.354
Tb2 Tb 0.194 0.389 0.993
Tb3 Tb 0.757 0.513 0.326
Tb4 Tb 0.606 0.211 0.681
Tb5 Tb 0.394 0.789 0.319
Tb6 Tb 0.243 0.487 0.674
Tb7 Tb 0.806 0.611 0.007
Tb8 Tb 0.972 0.945 0.646
Co1 Co 0.113 0.225 0.672
Co2 Co 0.887 0.775 0.328
Te1 Te 0.162 0.324 0.280
Te2 Te 0.838 0.676 0.720
```